1.
# AcLa2Pt

AcLa2Pt after structural relaxation (PBE, Alexandria via LeMat-Bulk).

Cell lengths 4.030, 10.493, 6.555 Å; angles 90.00, 107.89, 90.00 degrees
Space group P2_1/m (No. 11)
Asymmetric unit:
Ac  0.083  0.250  0.163 [2 per cell]
La  0.361  0.063  0.720 [4 per cell]
Pt  0.219  0.750  0.440 [2 per cell]

Computed properties:
Density of states at the Fermi level ... 11.71 states/eV per cell
Electronic total energy ... -5.6276 eV per atom
Energy relative to the elements ... -0.627 eV per atom
Total moment ... 0.00 μB/f.u.


2.
# PmEuPu4

PmEuPu4 after structural relaxation (PBE, Alexandria via LeMat-Bulk).

Cell lengths 8.991, 8.991, 8.991 Å; angles 90.00, 90.00, 90.00 degrees
Space group F-43m (No. 216)
Asymmetric unit:
Pm  0.000  0.000  0.000 [4 per cell]
Eu  0.250  0.250  0.250 [4 per cell]
Pu  0.126  0.126  0.626 [16 per cell]

Computed properties:
Density of states at the Fermi level ... 127.30 states/eV per cell
Electronic total energy ... -11.7631 eV per atom
Energy relative to the elements ... 0.296 eV per atom
Total moment ... 31.75 μB/f.u.


3.
# CaFeP2Se

CaFeP2Se after structural relaxation (PBE, Alexandria via LeMat-Bulk).

Cell lengths 4.251, 4.251, 5.532 Å; angles 90.00, 90.00, 90.00 degrees
Space group P4/mmm (No. 123)
Asymmetric unit:
Ca  0.000  0.000  0.000 [1 per cell]
Fe  0.500  0.500  0.500 [1 per cell]
P  0.000  0.500  0.500 [2 per cell]
Se  0.500  0.500  0.000 [1 per cell]

Computed properties:
Density of states at the Fermi level ... 1.93 states/eV per cell
Electronic total energy ... -5.3386 eV per atom
Total moment ... 0.00 μB/f.u.
Raw formation energy ... -0.3849 eV/atom